Entry from Alexandria: PmVP after structural relaxation (PBE).

a b c (Å): 5.5066 7.0285 6.3831
angles (deg): 109.98 90.00 90.00
With the nearest neighbours (Å) after each atom.
Fractional coordinates of all 12 atoms:
P  0.1337  0.4661  0.2656  3 V 2.36-2.42
P  0.6337  0.0339  0.7344  3 V 2.36-2.42
P  0.8663  0.5339  0.7344  3 V 2.36-2.42
P  0.3663  0.9661  0.2656  3 V 2.36-2.42
V  0.3903  0.1906  0.0637  3 P 2.36-2.42
V  0.8903  0.3094  0.9363  3 P 2.36-2.42
V  0.6097  0.8094  0.9363  3 P 2.36-2.42
V  0.1097  0.6906  0.0637  3 P 2.36-2.42
Pm  0.1322  0.8730  0.6649  5 P 2.94-3.12, 4 V 3.10-3.26
Pm  0.6322  0.6270  0.3351  5 P 2.94-3.12, 4 V 3.10-3.26
Pm  0.8678  0.1270  0.3351  5 P 2.94-3.12, 4 V 3.10-3.26
Pm  0.3678  0.3730  0.6649  5 P 2.94-3.12, 4 V 3.10-3.26

Calculated values
- Calculated formation energy: -736 meV/atom
- E above lowest polymorph: 0 meV per atom
- Symmetry: P2_1/c


Entry from Alexandria: TiPtI after structural relaxation (PBE).

a b c (Å): 3.5774 3.5780 12.2319
angles (deg): 90.00 90.00 119.99
With the nearest neighbours (Å) after each atom.
Fractional coordinates of all 6 atoms:
Pt  0.5563  0.1126  0.0000  2 I 2.56
Pt  0.5554  0.1107  0.5000  6 Ti 2.62
I  0.5554  0.1108  0.2095  1 Pt 2.56, 3 Ti 2.84
I  0.5554  0.1108  0.7905  1 Pt 2.56, 3 Ti 2.84
Ti  0.2221  0.4441  0.6317  3 Pt 2.62, 3 I 2.84
Ti  0.2221  0.4441  0.3683  3 Pt 2.62, 3 I 2.84

Calculated values
- ΔE_f (raw): -0.160 eV/atom
- Symmetry: P-6m2


Entry from Alexandria: GaCoNi2B after structural relaxation (PBE).

a b c (Å): 3.8149 3.8149 3.7874
angles (deg): 90.00 90.00 90.00
With the nearest neighbours (Å) after each atom.
Fractional coordinates of all 5 atoms:
Ni  0.0000  0.5000  0.0000  2 B 1.91
Ni  0.5000  0.0000  0.0000  2 B 1.91
B  0.0000  0.0000  0.0000  2 Co 1.89, 4 Ni 1.91
Co  0.0000  0.0000  0.5000  2 B 1.89
Ga  0.5000  0.5000  0.5000  8 Ni 2.69, 4 Co 2.70

Calculated values
- Calculated formation energy: -194 meV/atom
- Symmetry: P4/mmm


Entry from Alexandria: ScAl2W after structural relaxation (PBE).

a b c (Å): 2.8483 2.8483 8.4261
angles (deg): 90.00 90.00 90.02
With the nearest neighbours (Å) after each atom.
Fractional coordinates of all 4 atoms:
Sc  0.5000  0.5000  0.2500  4 Sc 2.85, 8 Al 3.02
Al  0.0000  0.0000  0.9837  4 W 2.82, 4 Al 2.85, 4 Sc 3.02
Al  0.0000  0.0000  0.5163  4 W 2.82, 4 Al 2.85, 4 Sc 3.02
W  0.5000  0.5000  0.7500  8 Al 2.82, 4 W 2.85

Calculated values
- Calculated formation energy: -116 meV/atom
- E above lowest polymorph: 87 meV per atom
- Symmetry: P4/mmm


Entry from Alexandria: CaBeSiW2 after structural relaxation (PBE).

a b c (Å): 4.6922 4.1893 4.6922
angles (deg): 90.00 90.00 90.00
With the nearest neighbours (Å) after each atom.
Fractional coordinates of all 5 atoms:
Be  0.0000  0.5000  0.0000  2 Ca 2.09
Ca  0.0000  0.0000  0.0000  2 Be 2.09
Si  0.5000  0.5000  0.5000  8 W 3.15, 4 Be 3.32
W  0.0000  0.0000  0.5000  2 Ca 2.35
W  0.5000  0.0000  0.0000  2 Ca 2.35

Calculated values
- ΔE_f (raw): 3.024 eV/atom
- Symmetry: P4/mmm


Entry from Alexandria: TbCd3Hg6 after structural relaxation (PBE).

a b c (Å): 8.4384 8.4384 8.4384
angles (deg): 105.47 105.47 105.47
With the nearest neighbours (Å) after each atom.
Fractional coordinates of all 20 atoms:
Tb  0.0000  0.0000  0.0000  6 Hg 3.14, 6 Cd 3.28
Tb  0.5000  0.5000  0.5000  6 Hg 3.14, 6 Cd 3.28
Cd  0.0919  0.4081  0.2499  6 Hg 3.06-3.29, 2 Tb 3.28
Cd  0.2499  0.0919  0.4081  6 Hg 3.06-3.29, 2 Tb 3.28
Cd  0.5919  0.7501  0.9081  6 Hg 3.06-3.29, 2 Tb 3.28
Cd  0.4081  0.2499  0.0919  6 Hg 3.06-3.29, 2 Tb 3.28
Cd  0.7501  0.9081  0.5919  6 Hg 3.06-3.29, 2 Tb 3.28
Cd  0.9081  0.5919  0.7501  6 Hg 3.06-3.29, 2 Tb 3.28
Hg  0.9739  0.6909  0.1448  1 Hg 2.94, 2 Cd 3.06-3.07, 1 Tb 3.14
Hg  0.8552  0.0261  0.3091  1 Hg 2.94, 2 Cd 3.06-3.07, 1 Tb 3.14
Hg  0.1907  0.4738  0.6447  1 Hg 2.94, 2 Cd 3.06-3.07, 1 Tb 3.14
Hg  0.3091  0.8552  0.0261  1 Hg 2.94, 2 Cd 3.06-3.07, 1 Tb 3.14
Hg  0.4738  0.6447  0.1907  1 Hg 2.94, 2 Cd 3.06-3.07, 1 Tb 3.14
Hg  0.3553  0.8093  0.5262  1 Hg 2.94, 2 Cd 3.06-3.07, 1 Tb 3.14
Hg  0.6447  0.1907  0.4738  1 Hg 2.94, 2 Cd 3.06-3.07, 1 Tb 3.14
Hg  0.5262  0.3553  0.8093  1 Hg 2.94, 2 Cd 3.06-3.07, 1 Tb 3.14
Hg  0.6909  0.1448  0.9739  1 Hg 2.94, 2 Cd 3.06-3.07, 1 Tb 3.14
Hg  0.8093  0.5262  0.3553  1 Hg 2.94, 2 Cd 3.06-3.07, 1 Tb 3.14
Hg  0.1448  0.9739  0.6909  1 Hg 2.94, 2 Cd 3.06-3.07, 1 Tb 3.14
Hg  0.0261  0.3091  0.8552  1 Hg 2.94, 2 Cd 3.06-3.07, 1 Tb 3.14

Calculated values
- Calculated formation energy: -112 meV/atom
- E above lowest polymorph: 0 meV per atom
- Symmetry: R-3c


Entry from Alexandria: Pr6TmTl4 after structural relaxation (PBE).

a b c (Å): 9.7006 9.7006 9.7006
angles (deg): 58.13 139.82 139.82
With the nearest neighbours (Å) after each atom.
Fractional coordinates of all 11 atoms:
Pr  0.0000  0.9156  0.4403  5 Tl 3.20-3.44
Pr  0.0000  0.4403  0.9156  5 Tl 3.20-3.44
Pr  0.5247  0.0844  0.0844  5 Tl 3.20-3.44
Pr  0.5000  0.0000  0.5000  4 Tl 3.27, 2 Tm 3.33
Pr  0.4753  0.5597  0.5597  5 Tl 3.20-3.44
Pr  0.5000  0.5000  0.0000  4 Tl 3.27, 2 Tm 3.33
Tm  0.0000  0.0000  0.0000  4 Tl 3.21, 4 Pr 3.33
Tl  0.0000  0.1078  0.6254  7 Pr 3.20-3.44, 1 Tm 3.21
Tl  0.4824  0.3746  0.3746  7 Pr 3.20-3.44, 1 Tm 3.21
Tl  0.0000  0.6254  0.1078  7 Pr 3.20-3.44, 1 Tm 3.21
Tl  0.5176  0.8922  0.8922  7 Pr 3.20-3.44, 1 Tm 3.21

Calculated values
- Calculated formation energy: -174 meV/atom
- Symmetry: I-42m


Entry from Alexandria: CePr6Sm5 after structural relaxation (PBE).

a b c (Å): 5.1903 10.3577 9.6993
angles (deg): 122.27 105.54 90.00
With the nearest neighbours (Å) after each atom.
Fractional coordinates of all 12 atoms:
Pr  0.8347  0.5860  0.6696  1 Ce 3.64, 4 Pr 3.65-3.70, 7 Sm 3.66-3.71
Pr  0.8347  0.0836  0.6696  1 Ce 3.64, 4 Pr 3.65-3.70, 7 Sm 3.66-3.71
Pr  0.5000  0.7526  0.0000  6 Sm 3.63-3.69, 2 Ce 3.65, 4 Pr 3.65
Pr  0.5000  0.2474  0.0000  6 Sm 3.63-3.69, 2 Ce 3.65, 4 Pr 3.65
Pr  0.1653  0.9164  0.3304  1 Ce 3.64, 4 Pr 3.65-3.70, 7 Sm 3.66-3.71
Pr  0.1653  0.4140  0.3304  1 Ce 3.64, 4 Pr 3.65-3.70, 7 Sm 3.66-3.71
Sm  0.6650  0.1649  0.3299  8 Pr 3.63-3.71, 2 Ce 3.65, 2 Sm 3.68
Sm  0.3327  0.3326  0.6652  8 Pr 3.66-3.69, 4 Sm 3.68
Sm  0.0000  0.5000  0.0000  8 Pr 3.66-3.69, 4 Sm 3.68
Sm  0.6673  0.6674  0.3348  8 Pr 3.66-3.69, 4 Sm 3.68
Sm  0.3350  0.8351  0.6701  8 Pr 3.63-3.71, 2 Ce 3.65, 2 Sm 3.68
Ce  0.0000  0.0000  0.0000  8 Pr 3.64-3.65, 4 Sm 3.65

Calculated values
- Calculated formation energy: 37 meV/atom
- Symmetry: Immm


Entry from Alexandria: LaTa2Re2 after structural relaxation (PBE).

a b c (Å): 4.3531 4.3531 6.4704
angles (deg): 70.34 70.34 90.00
With the nearest neighbours (Å) after each atom.
Fractional coordinates of all 5 atoms:
Re  0.3832  0.3832  0.2336  4 Ta 2.65, 1 Re 2.66
Re  0.6168  0.6168  0.7664  4 Ta 2.65, 1 Re 2.66
La  0.0000  0.0000  0.0000  8 Re 3.35, 8 Ta 3.58
Ta  0.7500  0.2500  0.5000  4 Re 2.65
Ta  0.2500  0.7500  0.5000  4 Re 2.65

Calculated values
- Calculated formation energy: 18 meV/atom
- E above lowest polymorph: 0 meV per atom
- Symmetry: I4/mmm


Entry from Alexandria: Tb4Y3ThS8 after structural relaxation (PBE).

a b c (Å): 7.8857 7.8780 7.8865
angles (deg): 120.03 120.00 90.00
With the nearest neighbours (Å) after each atom.
Fractional coordinates of all 16 atoms:
Tb  0.5000  0.0000  0.0000  6 S 2.75
Tb  0.5000  0.0000  0.5000  6 S 2.79
Tb  0.0000  0.0000  0.0000  6 S 2.79
Tb  0.0000  0.0000  0.5000  6 S 2.79
Y  0.5000  0.5000  0.0000  6 S 2.78
Y  0.5000  0.5000  0.5000  6 S 2.78
Y  0.0000  0.5000  0.5000  6 S 2.78
Th  0.0000  0.5000  0.0000  6 S 2.83
S  0.2536  0.7529  0.9993  3 Tb 2.75-2.79, 2 Y 2.78, 1 Th 2.83
S  0.2536  0.7529  0.5071  3 Tb 2.75-2.79, 2 Y 2.78, 1 Th 2.83
S  0.2503  0.2509  0.5006  3 Y 2.78, 3 Tb 2.79
S  0.7458  0.7529  0.9993  3 Tb 2.75-2.79, 2 Y 2.78, 1 Th 2.83
S  0.2542  0.2471  0.0007  3 Tb 2.75-2.79, 2 Y 2.78, 1 Th 2.83
S  0.7497  0.7491  0.4994  3 Y 2.78, 3 Tb 2.79
S  0.7464  0.2471  0.4929  3 Tb 2.75-2.79, 2 Y 2.78, 1 Th 2.83
S  0.7464  0.2471  0.0007  3 Tb 2.75-2.79, 2 Y 2.78, 1 Th 2.83

Calculated values
- ΔE_f (raw): -1.971 eV/atom
- Symmetry: R-3m


Entry from Alexandria: CuSi2 after structural relaxation (PBE).

a b c (Å): 5.7193 5.7193 5.7193
angles (deg): 90.00 90.00 90.00
With the nearest neighbours (Å) after each atom.
Fractional coordinates of all 12 atoms:
Si  0.6214  0.6214  0.3786  3 Cu 2.38, 1 Si 2.41
Si  0.3786  0.3786  0.6214  3 Cu 2.38, 1 Si 2.41
Si  0.1214  0.8786  0.6214  3 Cu 2.38, 1 Si 2.41
Si  0.8786  0.1214  0.3786  3 Cu 2.38, 1 Si 2.41
Si  0.3786  0.1214  0.1214  3 Cu 2.38, 1 Si 2.41
Si  0.6214  0.8786  0.8786  3 Cu 2.38, 1 Si 2.41
Si  0.8786  0.3786  0.8786  3 Cu 2.38, 1 Si 2.41
Si  0.1214  0.6214  0.1214  3 Cu 2.38, 1 Si 2.41
Cu  0.0000  0.0000  0.0000  6 Si 2.38
Cu  0.5000  0.5000  0.0000  6 Si 2.38
Cu  0.5000  0.0000  0.5000  6 Si 2.38
Cu  0.0000  0.5000  0.5000  6 Si 2.38

Calculated values
- ΔE_f (raw): 0.357 eV/atom
- Symmetry: Pa-3


Entry from Alexandria: BaO after structural relaxation (PBE).

a b c (Å): 4.2470 4.2470 4.2475
angles (deg): 120.00 120.00 90.00
With the nearest neighbours (Å) after each atom.
Fractional coordinates of all 2 atoms:
Ba  0.2500  0.7500  0.5000  4 O 2.60
O  0.0000  0.0000  0.0000  4 Ba 2.60

Calculated values
- ΔE_f (raw): -2.427 eV/atom
- Symmetry: F-43m